Record 1
SbMoRu2Se: optimized geometry, GGA-PBE.

Geometry as POSCAR:
```
SbMoRu2Se
1.0
4.753 0.000 0.000
0.000 4.753 0.000
0.000 0.000 5.118
Sb Mo Ru Se
1 1 2 1
direct
0.000 0.000 0.000 Sb
0.500 0.500 0.500 Mo
0.000 0.500 0.000 Ru
0.500 0.000 0.000 Ru
0.000 0.000 0.500 Se
```

Results
- energy relative to the elements, uncorrected (meV/atom) = 2061
- DFT total energy (eV per atom) = -5.336

=====

Record 2
RbPaTe2: optimized geometry, GGA-PBE.

Geometry as POSCAR:
```
RbPaTe2
1.0
3.865 0.000 0.000
0.000 3.865 0.000
0.000 0.000 8.787
Rb Pa Te
1 1 2
direct
0.000 0.000 0.000 Rb
0.000 0.000 0.500 Pa
0.500 0.500 0.297 Te
0.500 0.500 0.703 Te
```

Results
- energy relative to the elements, uncorrected (meV/atom) = -905
- DFT total energy (eV per atom) = -5.092

=====

Record 3
LiPd2AuN: optimized geometry, GGA-PBE.

Geometry as POSCAR:
```
LiPd2AuN
1.0
4.119 0.000 0.000
0.000 4.119 0.000
0.000 0.000 4.062
Li Pd Au N
1 2 1 1
direct
0.000 0.000 0.000 Li
0.000 0.500 0.500 Pd
0.500 0.000 0.500 Pd
0.500 0.500 0.000 Au
0.000 0.000 0.500 N
```

Results
- energy relative to the elements, uncorrected (meV/atom) = -64
- DFT total energy (eV per atom) = -4.845

=====

Record 4
PmSn6Ir: optimized geometry, GGA-PBE.

Geometry as POSCAR:
```
PmSn6Ir
1.0
3.290 -5.358 0.000
3.290 5.358 0.000
-2.967 0.000 5.910
Pm Sn Ir
1 6 1
direct
0.000 0.000 0.000 Pm
0.083 0.629 0.253 Sn
0.371 0.917 0.747 Sn
0.449 0.449 0.708 Sn
0.551 0.551 0.292 Sn
0.629 0.083 0.253 Sn
0.917 0.371 0.747 Sn
0.000 0.000 0.500 Ir
```

Results
- E_form (eV/atom) = -0.18
- DFT total energy (eV per atom) = -4.880

=====

Record 5
YTcCl4: optimized geometry, GGA-PBE.

Geometry as POSCAR:
```
YTcCl4
1.0
0.000 4.107 4.107
4.107 0.000 4.107
4.107 4.107 0.000
Y Tc Cl
1 1 4
direct
0.000 0.000 0.000 Y
0.250 0.250 0.250 Tc
0.126 0.625 0.625 Cl
0.625 0.126 0.625 Cl
0.625 0.625 0.126 Cl
0.625 0.625 0.625 Cl
```

Results
- energy relative to the elements, uncorrected (meV/atom) = 409
- DFT total energy (eV per atom) = -3.627

=====

Record 6
HfVTcSb: optimized geometry, GGA-PBE.

Geometry as POSCAR:
```
HfVTcSb
1.0
0.000 3.260 3.260
3.260 0.000 3.260
3.260 3.260 0.000
Hf V Tc Sb
1 1 1 1
direct
0.000 0.000 0.000 Hf
0.750 0.750 0.750 V
0.250 0.250 0.250 Tc
0.500 0.500 0.500 Sb
```

Results
- energy relative to the elements, uncorrected (meV/atom) = -223
- DFT total energy (eV per atom) = -8.613

=====

Record 7
Sm4ReHg: optimized geometry, GGA-PBE.

Geometry as POSCAR:
```
Sm4ReHg
1.0
4.338 -6.552 0.000
4.338 6.552 0.000
-1.752 0.000 6.135
Sm Re Hg
8 2 2
direct
0.064 0.722 0.959 Sm
0.205 0.362 0.596 Sm
0.278 0.936 0.541 Sm
0.362 0.205 0.096 Sm
0.638 0.795 0.904 Sm
0.722 0.064 0.459 Sm
0.795 0.638 0.404 Sm
0.936 0.278 0.041 Sm
0.000 0.000 0.250 Re
0.000 0.000 0.750 Re
0.374 0.626 0.250 Hg
0.626 0.374 0.750 Hg
```

Results
- E_form (eV/atom) = -0.15
- DFT total energy (eV per atom) = -5.424

=====

Record 8
ZnCo2Mo: optimized geometry, GGA-PBE.

Geometry as POSCAR:
```
ZnCo2Mo
1.0
1.325 0.765 8.544
-1.325 0.765 8.544
0.000 -1.530 8.544
Zn Co Mo
1 2 1
direct
0.000 0.000 0.000 Zn
0.252 0.252 0.252 Co
0.510 0.510 0.510 Co
0.761 0.761 0.761 Mo
```

Results
- E_form (eV/atom) = 0.17
- DFT total energy (eV per atom) = -6.406